[1]
KAcMgTe3 | GGA-PBE | relaxed

Values from the calculation:
E, eV/cell: -47.5
Formation energy (no corrections), eV per atom: -1.256
Crystal system: monoclinic

a b c (Å): 4.7518 9.9954 10.9137
angles (deg): 103.55 90.00 90.00
Atoms (fractional coordinates):
Te (0.2500, 0.7976, 0.4742)
Te (0.2500, 0.0975, 0.8588)
Te (0.2500, 0.5571, 0.8365)
Te (0.7500, 0.4429, 0.1635)
Te (0.7500, 0.9025, 0.1412)
Te (0.7500, 0.2024, 0.5258)
Ac (0.2500, 0.6691, 0.1474)
Ac (0.7500, 0.3309, 0.8526)
K (0.7500, 0.8085, 0.7842)
K (0.2500, 0.1915, 0.2158)
Mg (0.2500, 0.0819, 0.6019)
Mg (0.7500, 0.9181, 0.3981)

[2]
Sn2Te2Ir | GGA-PBE | relaxed

Values from the calculation:
E, eV/cell: -43.8
Formation energy (no corrections), eV per atom: 0.247
Distance to the lowest polymorph of the same formula, meV/atom: 0
Crystal system: tetragonal

a b c (Å): 6.8207 6.8207 6.2849
angles (deg): 90.00 90.00 90.00
Atoms (fractional coordinates):
Te (0.3460, 0.8460, 0.0000)
Te (0.6540, 0.1540, 0.0000)
Te (0.8460, 0.6540, 0.0000)
Te (0.1540, 0.3460, 0.0000)
Ir (0.5000, 0.5000, 0.0000)
Ir (0.0000, 0.0000, 0.0000)
Sn (0.3169, 0.8169, 0.5000)
Sn (0.1831, 0.3169, 0.5000)
Sn (0.6831, 0.1831, 0.5000)
Sn (0.8169, 0.6831, 0.5000)

[3]
LiLaPbCl6 | GGA-PBE | relaxed

Values from the calculation:
E, eV/cell: -76.1
Formation energy (no corrections), eV per atom: -1.827
Crystal system: trigonal

a b c (Å): 6.9284 6.9284 12.6805
angles (deg): 90.00 90.00 120.00
Atoms (fractional coordinates):
Cl (0.6416, 0.6604, 0.1312)
Cl (0.6604, 0.6416, 0.6312)
Cl (0.3584, 0.3396, 0.8688)
Cl (0.0188, 0.3584, 0.1312)
Cl (0.9812, 0.6416, 0.8688)
Cl (0.3396, 0.3584, 0.3688)
Cl (0.0188, 0.6604, 0.3688)
Cl (0.6416, 0.9812, 0.3688)
Cl (0.6604, 0.0188, 0.8688)
Cl (0.3396, 0.9812, 0.1312)
Cl (0.3584, 0.0188, 0.6312)
Cl (0.9812, 0.3396, 0.6312)
Li (0.3333, 0.6667, 0.2500)
Li (0.6667, 0.3333, 0.7500)
La (0.3333, 0.6667, 0.7500)
La (0.6667, 0.3333, 0.2500)
Pb (0.0000, 0.0000, 0.5000)
Pb (0.0000, 0.0000, 0.0000)

[4]
YGa4Ir2Pt | GGA-PBE | relaxed

Values from the calculation:
E, eV/cell: -46.7
Crystal system: trigonal
ΔH_f (0 K), eV per atom: -0.552

a b c (Å): 4.2857 4.2857 8.9123
angles (deg): 76.09 76.09 60.00
Atoms (fractional coordinates):
Ga (0.8714, 0.8714, 0.3857)
Ga (0.1286, 0.1286, 0.6143)
Ga (0.3964, 0.3964, 0.8107)
Ga (0.6036, 0.6036, 0.1893)
Ir (0.2351, 0.2351, 0.2946)
Ir (0.7649, 0.7649, 0.7054)
Pt (0.5000, 0.5000, 0.5000)
Y (0.0000, 0.0000, 0.0000)

[5]
BaAl2H8Pd | GGA-PBE | relaxed

Values from the calculation:
E, eV/cell: -42.8
Crystal system: trigonal

a b c (Å): 4.7591 4.7591 7.4990
angles (deg): 71.50 71.50 60.00
Atoms (fractional coordinates):
H (0.1873, 0.1873, 0.4382)
H (0.3772, 0.7101, 0.8367)
H (0.2899, 0.9240, 0.1633)
H (0.0760, 0.3772, 0.8367)
H (0.9240, 0.6228, 0.1633)
H (0.6228, 0.2899, 0.1633)
H (0.8127, 0.8127, 0.5618)
H (0.7101, 0.0760, 0.8367)
Al (0.7299, 0.7299, 0.8103)
Al (0.2701, 0.2701, 0.1897)
Ba (0.5000, 0.5000, 0.5000)
Pd (0.0000, 0.0000, 0.0000)

[6]
La15Mg4Tl | GGA-PBE | relaxed

Values from the calculation:
E, eV/cell: -83.4
Crystal system: tetragonal
ΔH_f (0 K), eV per atom: -0.035

a b c (Å): 5.9271 5.9271 19.0568
angles (deg): 90.00 90.00 90.00
Atoms (fractional coordinates):
Mg (0.0000, 0.0000, 0.4003)
Mg (0.0000, 0.0000, 0.7997)
Mg (0.0000, 0.0000, 0.5997)
Mg (0.0000, 0.0000, 0.2003)
La (0.0000, 0.5000, 0.7003)
La (0.5000, 0.5000, 0.3994)
La (0.0000, 0.5000, 0.9018)
La (0.5000, 0.0000, 0.7003)
La (0.0000, 0.5000, 0.5000)
La (0.5000, 0.0000, 0.2997)
La (0.5000, 0.5000, 0.0000)
La (0.5000, 0.0000, 0.0982)
La (0.5000, 0.0000, 0.5000)
La (0.5000, 0.5000, 0.6006)
La (0.5000, 0.5000, 0.8003)
La (0.5000, 0.5000, 0.1997)
La (0.0000, 0.5000, 0.2997)
La (0.5000, 0.0000, 0.9018)
La (0.0000, 0.5000, 0.0982)
Tl (0.0000, 0.0000, 0.0000)

[7]
LiAl2Pt | GGA-PBE | relaxed

Values from the calculation:
E, eV/cell: -17.8
Crystal system: orthorhombic
ΔH_f (0 K), eV per atom: -0.589

a b c (Å): 4.3106 2.8756 4.6718
angles (deg): 89.98 90.00 90.00
Atoms (fractional coordinates):
Al (0.5000, 0.1249, 0.3140)
Al (0.0000, 0.1252, 0.9452)
Li (0.0000, 0.6250, 0.4466)
Pt (0.5000, 0.6249, 0.7942)

[8]
MnCd2In | GGA-PBE | relaxed

Values from the calculation:
E, eV/cell: -12.9
Crystal system: orthorhombic
ΔH_f (0 K), eV per atom: 0.208

a b c (Å): 3.0940 4.2295 6.3065
angles (deg): 90.00 90.00 90.00
Atoms (fractional coordinates):
Cd (0.5000, 0.5000, 0.2387)
Cd (0.0000, 0.0000, 0.9891)
In (0.0000, 0.0000, 0.5258)
Mn (0.5000, 0.5000, 0.7464)

[9]
FeCuPt2 | GGA-PBE | relaxed

Values from the calculation:
E, eV/cell: -25.4
Crystal system: orthorhombic
ΔH_f (0 K), eV per atom: -0.180

a b c (Å): 4.5879 4.5879 2.7678
angles (deg): 89.97 89.97 105.15
Atoms (fractional coordinates):
Pt (0.0000, 0.0000, 0.0000)
Pt (0.5000, 0.5000, 0.0000)
Cu (0.5000, 0.0000, 0.5000)
Fe (0.0000, 0.5000, 0.5000)

[10]
NbCoTcSn2 | GGA-PBE | relaxed

Values from the calculation:
E, eV/cell: -31.4
Crystal system: tetragonal
ΔH_f (0 K), eV per atom: 0.824

a b c (Å): 4.6989 4.5757 4.6989
angles (deg): 90.00 90.00 90.00
Atoms (fractional coordinates):
Sn (0.5000, 0.0000, 0.0000)
Sn (0.0000, 0.0000, 0.5000)
Co (0.0000, 0.0000, 0.0000)
Nb (0.0000, 0.5000, 0.0000)
Tc (0.5000, 0.5000, 0.5000)

[11]
SrCaCl2 | GGA-PBE | relaxed

Values from the calculation:
E, eV/cell: -26.9
Formation energy (no corrections), eV per atom: -1.518
Distance to the lowest polymorph of the same formula, meV/atom: 170
Crystal system: tetragonal

a b c (Å): 6.6419 6.6419 8.1380
angles (deg): 65.92 65.92 90.00
Atoms (fractional coordinates):
Ca (0.2500, 0.7500, 0.5000)
Ca (0.5000, 0.5000, 0.0000)
Cl (0.5985, 0.1250, 0.2500)
Cl (0.8750, 0.8485, 0.7500)
Cl (0.3750, 0.4015, 0.7500)
Cl (0.1515, 0.6250, 0.2500)
Sr (0.7500, 0.2500, 0.5000)
Sr (0.0000, 0.0000, 0.0000)

[12]
Sr2In3Pd5 | GGA-PBE | relaxed

Values from the calculation:
E, eV/cell: -86.6
Crystal system: orthorhombic
ΔH_f (0 K), eV per atom: -0.573

a b c (Å): 6.2051 9.2001 9.2001
angles (deg): 74.43 70.29 70.29
Atoms (fractional coordinates):
Pd (0.0393, 0.2107, 0.2107)
Pd (0.1079, 0.0578, 0.7265)
Pd (0.9607, 0.7893, 0.7893)
Pd (0.3921, 0.2735, 0.9422)
Pd (0.6079, 0.7265, 0.0578)
Pd (0.2500, 0.5000, 0.5000)
Pd (0.4607, 0.7893, 0.7893)
Pd (0.8921, 0.9422, 0.2735)
Pd (0.7500, 0.5000, 0.5000)
Pd (0.5393, 0.2107, 0.2107)
Sr (0.6282, 0.1369, 0.6067)
Sr (0.1282, 0.6067, 0.1369)
Sr (0.8718, 0.3933, 0.8631)
Sr (0.3718, 0.8631, 0.3933)
In (0.1438, 0.2589, 0.4536)
In (0.3562, 0.5464, 0.7411)
In (0.6438, 0.4536, 0.2589)
In (0.2500, 0.0000, 0.0000)
In (0.8562, 0.7411, 0.5464)
In (0.7500, 0.0000, 0.0000)